An optimized crystal structure of KBC4N4. Source: the Alexandria database, functional PBE.

Lattice parameters (Å, degrees): 7.238 7.238 14.569 90.00 90.00 90.00
Space group I4_1/a (No. 88, origin choice 2)
Unique sites:
K1 0.000 0.250 0.125
B1 0.000 0.250 0.625
C1 0.092 0.404 0.688
N1 0.158 0.019 0.267

Formation energy without anion corrections, kcal/mol of atoms: 0.0